<a>
Below is an optimized crystal structure of BeTlCuRe, with properties calculated at the PBE level.

```
4
Lattice="0.000 3.066 3.066 3.066 0.000 3.066 3.066 3.066 0.000" Properties=species:S:1:pos:R:3 pbc="T T T"
Tl 0.000 0.000 0.000
Re 3.066 3.066 3.066
Cu 4.598 4.598 4.598
Be 1.533 1.533 1.533
```

---

<b>
Below is an optimized crystal structure of BeTlCuRe, with properties calculated at the PBE level.

```
4
Lattice="0.000 3.114 3.114 3.114 0.000 3.114 3.114 3.114 0.000" Properties=species:S:1:pos:R:3 pbc="T T T"
Tl 0.000 0.000 0.000
Cu 4.671 4.671 4.671
Be 3.114 3.114 3.114
Re 1.557 1.557 1.557
```

---

The least stable of them is <b>.